(1)
DFT (GGA-PBE) results for a relaxed HfTl3Pd crystal.

Output
Spin magnetization, μB per cell: 0.0
SG: Pm-3m (221)
Total energy, eV per cell: -19.2
ΔH_f (0 K), eV per formula unit: 3.025
DOS at the Fermi energy, states/eV/f.u.: 4.1
Distance to the lowest polymorph of the same formula, meV per atom: 0
Crystal system: cubic

Lattice parameters (Å, degrees): 5.2029 5.2029 5.2029 90.00 90.00 90.00
With the nearest neighbours (Å) after each atom.
Fractional positions:
Tl: 0.0000 0.5000 0.0000  2 Pd 2.60
Tl: 0.0000 0.0000 0.5000  2 Pd 2.60
Tl: 0.5000 0.0000 0.0000  2 Pd 2.60
Hf: 0.5000 0.5000 0.5000  12 Tl 3.68
Pd: 0.0000 0.0000 0.0000  6 Tl 2.60



(2)
DFT (GGA-PBE) results for a relaxed MgCo6P4 crystal.

Output
Spin magnetization, μB per cell: 1.2
SG: Amm2 (38)
Total energy, eV per cell: -69.2
ΔH_f (0 K), eV per formula unit: -3.330
DOS at the Fermi energy, states/eV/f.u.: 10.1
Distance to the lowest polymorph of the same formula, meV per atom: 331
Crystal system: orthorhombic

Lattice parameters (Å, degrees): 6.4369 6.4369 3.5806 90.00 90.00 111.97
With the nearest neighbours (Å) after each atom.
Fractional positions:
Mg: 0.8662 0.1338 0.0000  2 Co 2.37, 2 P 2.46
Co: 0.1013 0.5128 0.5000  4 P 2.19-2.40
Co: 0.5063 0.4937 0.5000  5 P 2.15-2.39
Co: 0.4872 0.8987 0.5000  4 P 2.19-2.40
Co: 0.7170 0.7376 0.0000  3 P 2.15-2.16, 1 Mg 2.37
Co: 0.1492 0.8508 0.0000  5 P 2.23-2.38
Co: 0.2624 0.2830 0.0000  3 P 2.15-2.16, 1 Mg 2.37
P: 0.2875 0.1094 0.5000  6 Co 2.15-2.38
P: 0.7077 0.2923 0.5000  3 Co 2.15-2.40
P: 0.8906 0.7125 0.5000  6 Co 2.15-2.38
P: 0.3578 0.6422 0.0000  9 Co 2.16-2.39



(3)
DFT (GGA-PBE) results for a relaxed NpAlTc2 crystal.

Output
Spin magnetization, μB per cell: 2.5
SG: Fm-3m (225)
Total energy, eV per cell: -37.9
ΔH_f (0 K), eV per formula unit: -0.527
DOS at the Fermi energy, states/eV/f.u.: 9.7
Distance to the lowest polymorph of the same formula, meV per atom: 65
Crystal system: cubic

Lattice parameters (Å, degrees): 4.5435 4.5435 4.5435 60.00 60.00 60.00
With the nearest neighbours (Å) after each atom.
Fractional positions:
Np: 0.0000 0.0000 0.0000  8 Tc 2.78
Tc: 0.2500 0.2500 0.2500  4 Np 2.78, 4 Al 2.78
Tc: 0.7500 0.7500 0.7500  4 Al 2.78, 4 Np 2.78
Al: 0.5000 0.5000 0.5000  8 Tc 2.78



(4)
DFT (GGA-PBE) results for a relaxed BaMn3Re crystal.

Output
Spin magnetization, μB per cell: 10.0
SG: Pm-3m (221)
Total energy, eV per cell: -37.8
ΔH_f (0 K), eV per formula unit: 4.112
DOS at the Fermi energy, states/eV/f.u.: 5.8
Crystal system: cubic

Lattice parameters (Å, degrees): 4.8959 4.8959 4.8959 90.00 90.00 90.00
With the nearest neighbours (Å) after each atom.
Fractional positions:
Re: 0.0000 0.0000 0.0000  6 Mn 2.45
Mn: 0.0000 0.5000 0.0000  2 Re 2.45
Mn: 0.0000 0.0000 0.5000  2 Re 2.45
Mn: 0.5000 0.0000 0.0000  2 Re 2.45
Ba: 0.5000 0.5000 0.5000  12 Mn 3.46